--- A ---
Li2NbV3O8: single point on PBEsol structure, SCAN.

Calculated values
density of states at the Fermi level	1.5	states/eV/f.u.

abc: 8.2956 8.2956 8.2956
angles: 90.00 90.00 90.00
With the nearest neighbours (Å) after each atom.
Sites, in units of the cell vectors:
Li 0.0000 0.0000 0.0000  4 O 1.89-1.94
Li 0.0000 0.5000 0.5000  4 O 1.89-1.94
Li 0.2500 0.2500 0.2500  4 O 1.89-1.94
Li 0.2500 0.7500 0.7500  4 O 1.89-1.94
Li 0.5000 0.0000 0.5000  4 O 1.89-1.94
Li 0.5000 0.5000 0.0000  4 O 1.89-1.94
Li 0.7500 0.2500 0.7500  4 O 1.89-1.94
Li 0.7500 0.7500 0.2500  4 O 1.89-1.94
Nb 0.1250 0.8750 0.3750  6 O 2.04
Nb 0.3750 0.1250 0.8750  6 O 2.04
Nb 0.6250 0.6250 0.6250  6 O 2.04
Nb 0.8750 0.3750 0.1250  6 O 2.04
V 0.1180 0.1320 0.6250  6 O 1.96-2.00
V 0.1250 0.3820 0.8680  6 O 1.96-2.00
V 0.1320 0.6250 0.1180  6 O 1.96-2.00
V 0.3680 0.3750 0.6180  6 O 1.96-2.00
V 0.3750 0.6180 0.3680  6 O 1.96-2.00
V 0.3820 0.8680 0.1250  6 O 1.96-2.00
V 0.6180 0.3680 0.3750  6 O 1.96-2.00
V 0.6250 0.1180 0.1320  6 O 1.96-2.00
V 0.6320 0.8750 0.8820  6 O 1.96-2.00
V 0.8680 0.1250 0.3820  6 O 1.96-2.00
V 0.8750 0.8820 0.6320  6 O 1.96-2.00
V 0.8820 0.6320 0.8750  6 O 1.96-2.00
O 0.1094 0.1207 0.3846  1 Li 1.94, 2 V 2.00, 1 Nb 2.04
O 0.1154 0.8906 0.6207  1 Li 1.94, 2 V 2.00, 1 Nb 2.04
O 0.1182 0.6182 0.8818  1 Li 1.89, 3 V 1.96
O 0.1207 0.3846 0.1094  1 Li 1.94, 2 V 2.00, 1 Nb 2.04
O 0.1293 0.1406 0.8654  1 Li 1.94, 2 V 2.00, 1 Nb 2.04
O 0.1318 0.3682 0.6318  1 Li 1.89, 3 V 1.96
O 0.1346 0.6293 0.3594  1 Li 1.94, 2 V 2.00, 1 Nb 2.04
O 0.1406 0.8654 0.1293  1 Li 1.94, 2 V 2.00, 1 Nb 2.04
O 0.3594 0.1346 0.6293  1 Li 1.94, 2 V 2.00, 1 Nb 2.04
O 0.3654 0.3707 0.8594  1 Li 1.94, 2 V 2.00, 1 Nb 2.04
O 0.3682 0.6318 0.1318  1 Li 1.89, 3 V 1.96
O 0.3707 0.8594 0.3654  1 Li 1.94, 2 V 2.00, 1 Nb 2.04
O 0.3793 0.6154 0.6094  1 Li 1.94, 2 V 2.00, 1 Nb 2.04
O 0.3818 0.3818 0.3818  1 Li 1.89, 3 V 1.96
O 0.3846 0.1094 0.1207  1 Li 1.94, 2 V 2.00, 1 Nb 2.04
O 0.3906 0.8793 0.8846  1 Li 1.94, 2 V 2.00, 1 Nb 2.04
O 0.6094 0.3793 0.6154  1 Li 1.94, 2 V 2.00, 1 Nb 2.04
O 0.6154 0.6094 0.3793  1 Li 1.94, 2 V 2.00, 1 Nb 2.04
O 0.6182 0.8818 0.1182  1 Li 1.89, 3 V 1.96
O 0.6207 0.1154 0.8906  1 Li 1.94, 2 V 2.00, 1 Nb 2.04
O 0.6293 0.3594 0.1346  1 Li 1.94, 2 V 2.00, 1 Nb 2.04
O 0.6318 0.1318 0.3682  1 Li 1.89, 3 V 1.96
O 0.6346 0.8707 0.6406  1 Li 1.94, 2 V 2.00, 1 Nb 2.04
O 0.6406 0.6346 0.8707  1 Li 1.94, 2 V 2.00, 1 Nb 2.04
O 0.8594 0.3654 0.3707  1 Li 1.94, 2 V 2.00, 1 Nb 2.04
O 0.8654 0.1293 0.1406  1 Li 1.94, 2 V 2.00, 1 Nb 2.04
O 0.8682 0.8682 0.8682  1 Li 1.89, 3 V 1.96
O 0.8707 0.6406 0.6346  1 Li 1.94, 2 V 2.00, 1 Nb 2.04
O 0.8793 0.8846 0.3906  1 Li 1.94, 2 V 2.00, 1 Nb 2.04
O 0.8818 0.1182 0.6182  1 Li 1.89, 3 V 1.96
O 0.8846 0.3906 0.8793  1 Li 1.94, 2 V 2.00, 1 Nb 2.04
O 0.8906 0.6207 0.1154  1 Li 1.94, 2 V 2.00, 1 Nb 2.04

***

--- B ---
Li2NbV3O8: single point on PBEsol structure, SCAN.

abc: 5.7888 5.7888 9.6996
angles: 90.00 90.00 120.00
With the nearest neighbours (Å) after each atom.
Sites, in units of the cell vectors:
Li 0.0000 0.0000 0.0000  4 O 1.82-1.96
Li 0.0000 0.0000 0.5000  4 O 1.82-1.96
Li 0.3333 0.6667 0.0946  4 O 1.90-1.94
Li 0.6667 0.3333 0.5946  4 O 1.90-1.94
Nb 0.3333 0.6667 0.4998  6 O 1.97-2.10
Nb 0.6667 0.3333 0.9998  6 O 1.97-2.10
V 0.1757 0.3515 0.7762  6 O 1.95-2.06
V 0.1757 0.8243 0.7762  6 O 1.95-2.06
V 0.3515 0.1757 0.2762  6 O 1.95-2.06
V 0.6485 0.8243 0.7762  6 O 1.95-2.06
V 0.8243 0.1757 0.2762  6 O 1.95-2.06
V 0.8243 0.6485 0.2762  6 O 1.95-2.06
O 0.0000 0.0000 0.1880  1 Li 1.82, 3 V 1.96
O 0.0000 0.0000 0.6880  1 Li 1.82, 3 V 1.96
O 0.0302 0.5151 0.6487  1 Li 1.90, 2 V 1.98, 1 Nb 2.10
O 0.1659 0.3318 0.3931  1 Li 1.96, 1 Nb 1.97, 2 V 2.06
O 0.1659 0.8341 0.3931  1 Li 1.96, 1 Nb 1.97, 2 V 2.06
O 0.3318 0.1659 0.8931  1 Li 1.96, 1 Nb 1.97, 2 V 2.06
O 0.3333 0.6667 0.8942  1 Li 1.94, 3 V 1.95
O 0.4849 0.5151 0.6487  1 Li 1.90, 2 V 1.98, 1 Nb 2.10
O 0.4849 0.9698 0.6487  1 Li 1.90, 2 V 1.98, 1 Nb 2.10
O 0.5151 0.0302 0.1487  1 Li 1.90, 2 V 1.98, 1 Nb 2.10
O 0.5151 0.4849 0.1487  1 Li 1.90, 2 V 1.98, 1 Nb 2.10
O 0.6667 0.3333 0.3942  1 Li 1.94, 3 V 1.95
O 0.6682 0.8341 0.3931  1 Li 1.96, 1 Nb 1.97, 2 V 2.06
O 0.8341 0.1659 0.8931  1 Li 1.96, 1 Nb 1.97, 2 V 2.06
O 0.8341 0.6682 0.8931  1 Li 1.96, 1 Nb 1.97, 2 V 2.06
O 0.9698 0.4849 0.1487  1 Li 1.90, 2 V 1.98, 1 Nb 2.10

***

B is the most stable structure; the next one sits 39 meV/atom above it.